No. 1
GGA-PBE Ba4LiAu3, relaxed; energy relative to the elements = -0.549 eV per atom; magnetic moment = 0.000 Bohr magnetons per cell
1.0
4.657 0.000 0.000
0.000 4.883 0.000
0.000 0.000 12.721
Ba Li Au
4 1 3
Direct
0.000 0.000 0.000
0.000 0.500 0.262
0.500 0.000 0.480
0.500 0.500 0.771
0.000 0.000 0.678
0.000 0.500 0.569
0.500 0.000 0.207
0.500 0.500 0.050

No. 2
GGA-PBE Ba6Li15Au8, relaxed; energy relative to the elements = -0.378 eV per atom; magnetic moment = 0.008 Bohr magnetons per cell
1.0
0.000 7.324 7.324
7.324 0.000 7.324
7.324 7.324 0.000
Ba Li Au
6 15 8
Direct
0.250 0.250 0.750
0.250 0.750 0.250
0.250 0.750 0.750
0.750 0.250 0.250
0.750 0.250 0.750
0.750 0.750 0.250
0.000 0.000 0.000
0.000 0.000 0.500
0.000 0.500 0.000
0.000 0.500 0.500
0.039 0.320 0.320
0.320 0.039 0.320
0.320 0.320 0.039
0.320 0.320 0.320
0.500 0.000 0.000
0.500 0.000 0.500
0.500 0.500 0.000
0.680 0.680 0.680
0.680 0.680 0.961
0.680 0.961 0.680
0.961 0.680 0.680
0.145 0.145 0.145
0.145 0.145 0.564
0.145 0.564 0.145
0.436 0.855 0.855
0.564 0.145 0.145
0.855 0.436 0.855
0.855 0.855 0.436
0.855 0.855 0.855

No. 3
GGA-PBE BaLi3Au, relaxed; energy relative to the elements = -0.217 eV per atom; magnetic moment = 0.000 Bohr magnetons per cell
1.0
5.137 0.000 0.000
0.000 5.137 0.000
0.000 0.000 5.137
Ba Li Au
1 3 1
Direct
0.000 0.000 0.000
0.000 0.500 0.500
0.500 0.000 0.500
0.500 0.500 0.000
0.500 0.500 0.500

No. 4
GGA-PBE Ba2Li3Mg12Au, relaxed; energy relative to the elements = 0.068 eV per atom; magnetic moment = 0.000 Bohr magnetons per cell
1.0
3.609 2.084 11.241
-3.609 2.084 11.241
0.000 -4.168 11.241
Ba Li Mg Au
2 3 12 1
Direct
0.144 0.144 0.144
0.856 0.856 0.856
0.000 0.500 0.500
0.500 0.000 0.500
0.500 0.500 0.000
0.090 0.090 0.679
0.090 0.679 0.090
0.142 0.585 0.585
0.321 0.910 0.910
0.415 0.415 0.858
0.415 0.858 0.415
0.585 0.142 0.585
0.585 0.585 0.142
0.679 0.090 0.090
0.858 0.415 0.415
0.910 0.321 0.910
0.910 0.910 0.321
0.500 0.500 0.500

No. 5
GGA-PBE BaLiMg2Au4, relaxed; energy relative to the elements = -0.605 eV per atom; magnetic moment = 0.000 Bohr magnetons per cell
1.0
2.332 1.346 9.452
-2.332 1.346 9.452
0.000 -2.693 9.452
Ba Li Mg Au
1 1 2 4
Direct
0.000 0.000 0.000
0.500 0.500 0.500
0.229 0.229 0.229
0.771 0.771 0.771
0.131 0.131 0.131
0.409 0.409 0.409
0.591 0.591 0.591
0.869 0.869 0.869

No. 6
GGA-PBE Ba3Li2Mg2Au4, relaxed; energy relative to the elements = -0.524 eV per atom; magnetic moment = 0.000 Bohr magnetons per cell
1.0
4.668 0.000 0.000
-2.334 4.042 0.000
0.000 0.000 17.074
Ba Li Mg Au
3 2 2 4
Direct
0.000 0.000 0.000
0.000 0.000 0.277
0.000 0.000 0.723
0.333 0.667 0.138
0.667 0.333 0.862
0.333 0.667 0.558
0.667 0.333 0.442
0.333 0.667 0.397
0.333 0.667 0.865
0.667 0.333 0.135
0.667 0.333 0.603